The following is a PBE calculation of a geometry-optimized Y3URu3 structure, from Alexandria.

Calculated values
Density of states at the Fermi level, states/eV per cell: 11.28
Energy relative to the elements, meV/atom: -305.5
Uncorrected energy, eV per atom: -8.664

Geometry as extended XYZ:
```
14
Lattice="3.870 0.000 0.583 1.925 6.085 0.357 -0.071 -0.344 13.610" Properties=species:S:1:pos:R:3 pbc="T T T"
Ru 5.307 5.266 4.179
Y 2.593 2.174 9.063
Ru 4.721 4.208 8.070
Y 4.192 4.180 11.581
Y 3.720 4.316 1.576
U 2.643 5.557 8.732
U 3.081 0.185 5.818
Ru 1.992 4.894 13.051
Ru 3.732 0.847 1.499
Ru 0.417 0.475 10.371
Ru 1.003 1.533 6.480
Y 3.131 3.567 5.487
Y 1.532 1.561 2.969
Y 2.004 1.425 12.974
```